1.
The following is a PBE calculation of PrGa2PRu2 after structural relaxation, from Alexandria.

```
PrGa2PRu2
1.0
4.426 0.000 0.000
0.000 4.426 0.000
0.000 0.000 5.711
Ga P Ru Pr
2 1 2 1
direct
0.500 0.500 0.726 Ga
0.500 0.500 0.274 Ga
0.000 0.000 0.000 P
0.000 0.500 0.000 Ru
0.500 0.000 0.000 Ru
0.000 0.000 0.500 Pr
```

- energy of formation (eV/atom) = -0.499
- SG = P4/mmm, No. 123

2.
The following is a PBE calculation of Pr4GaPSe2 after structural relaxation, from Alexandria.

```
Pr4GaPSe2
1.0
-1.001 0.202 4.082
2.466 -6.997 0.951
7.225 0.225 1.761
P Pr Se Ga
1 4 2 1
direct
0.000 0.500 0.500 P
0.000 0.254 0.254 Pr
0.000 0.746 0.746 Pr
0.500 0.264 0.741 Pr
0.500 0.736 0.259 Pr
0.000 0.000 0.000 Se
0.500 0.000 0.500 Se
0.500 0.500 0.000 Ga
```

- raw formation energy (meV/atom) = -1462.4
- SG = P2/m, No. 10

3.
The following is a PBE calculation of Pr6GaP2Se3 after structural relaxation, from Alexandria.

```
Pr6GaP2Se3
1.0
-1.652 0.313 -3.866
1.366 -8.430 -1.267
-7.747 0.206 5.625
Pr P Ga Se
6 2 1 3
direct
0.329 0.428 0.658 Pr
0.997 0.748 0.993 Pr
0.666 0.094 0.332 Pr
0.003 0.252 0.007 Pr
0.671 0.572 0.342 Pr
0.334 0.906 0.668 Pr
0.832 0.665 0.665 P
0.168 0.335 0.335 P
0.500 0.000 0.000 Ga
0.833 0.169 0.666 Se
0.500 0.500 0.000 Se
0.167 0.831 0.334 Se
```

- raw formation energy (meV/atom) = -1564.1
- SG = C2/m, No. 12

4.
The following is a PBE calculation of Pr4GaTe2P after structural relaxation, from Alexandria.

```
Pr4GaTe2P
1.0
-3.226 -2.134 1.901
4.447 -1.330 6.054
-3.767 6.716 1.145
Te Ga P Pr
2 1 1 4
direct
0.000 0.500 0.500 Te
0.500 0.000 0.500 Te
0.500 0.500 0.000 Ga
0.000 0.000 0.000 P
0.000 0.252 0.770 Pr
0.500 0.235 0.220 Pr
0.000 0.748 0.230 Pr
0.500 0.765 0.780 Pr
```

- raw formation energy (meV/atom) = -1272.2
- SG = P2/m, No. 10

5.
The following is a PBE calculation of Ga2P2Pt7 after structural relaxation, from Alexandria.

```
Ga2P2Pt7
1.0
5.725 -0.267 -0.454
-0.235 5.524 0.250
-0.096 0.267 5.742
Pt P Ga
7 2 2
direct
0.000 0.000 0.000 Pt
0.499 0.743 0.501 Pt
0.501 0.257 0.499 Pt
0.007 0.249 0.537 Pt
0.537 0.751 0.007 Pt
0.993 0.751 0.463 Pt
0.463 0.249 0.993 Pt
0.725 0.044 0.275 P
0.275 0.956 0.725 P
0.179 0.500 0.179 Ga
0.821 0.500 0.821 Ga
```

- energy of formation (eV/atom) = -0.397
- SG = C2/m, No. 12

6.
The following is a PBE calculation of GaPPt2 after structural relaxation, from Alexandria.

```
GaPPt2
1.0
4.140 0.000 0.000
0.000 4.140 0.000
2.070 2.070 7.861
Pt Ga P
4 2 2
direct
0.375 0.400 0.750 Pt
0.600 0.125 0.250 Pt
0.150 0.625 0.250 Pt
0.875 0.850 0.750 Pt
0.750 0.250 0.500 Ga
0.000 0.000 0.000 Ga
0.250 0.750 0.500 P
0.500 0.500 0.000 P
```

- energy of formation (eV/atom) = -0.397
- SG = I-42d, No. 122
- energy above the lowest structure with this stoichiometry (meV/atom) = 0

7.
The following is a PBE calculation of GaPPt2 after structural relaxation, from Alexandria.

```
GaPPt2
1.0
0.000 3.120 3.120
3.120 0.000 3.120
3.120 3.120 0.000
Ga Pt P
1 2 1
direct
0.500 0.500 0.500 Ga
0.750 0.750 0.750 Pt
0.250 0.250 0.250 Pt
0.000 0.000 0.000 P
```

- energy of formation (eV/atom) = -0.133
- SG = Fm-3m, No. 225
- energy above the lowest structure with this stoichiometry (meV/atom) = 264

8.
The following is a PBE calculation of Ga2PPt2 after structural relaxation, from Alexandria.

```
Ga2PPt2
1.0
-6.373 1.211 -3.806
1.990 -5.251 -5.003
-1.300 -1.970 1.551
Pt Ga P
4 4 2
direct
0.650 0.150 0.000 Pt
0.850 0.650 0.000 Pt
0.150 0.350 0.000 Pt
0.350 0.850 0.000 Pt
0.149 0.649 0.500 Ga
0.851 0.351 0.500 Ga
0.649 0.851 0.500 Ga
0.351 0.149 0.500 Ga
0.000 0.000 0.000 P
0.500 0.500 0.000 P
```

- energy of formation (eV/atom) = -0.304
- SG = P4/mbm, No. 127

9.
The following is a PBE calculation of GaPPt4 after structural relaxation, from Alexandria.

```
GaPPt4
1.0
5.277 0.095 -0.712
-3.251 6.859 -2.167
1.111 -0.095 5.208
Pt Ga P
8 2 2
direct
0.217 0.185 0.468 Pt
0.717 0.185 0.968 Pt
0.702 0.654 0.952 Pt
0.783 0.815 0.532 Pt
0.283 0.815 0.032 Pt
0.298 0.346 0.048 Pt
0.798 0.346 0.548 Pt
0.202 0.654 0.452 Pt
0.250 0.000 0.750 Ga
0.750 0.000 0.250 Ga
0.500 0.500 0.500 P
0.000 0.500 0.000 P
```

- energy of formation (eV/atom) = -0.402
- SG = P2/m, No. 10

10.
The following is a PBE calculation of GaP2RuPt after structural relaxation, from Alexandria.

```
GaP2RuPt
1.0
4.603 0.000 0.000
0.000 4.699 0.000
0.000 0.000 4.603
Ru Ga Pt P
1 1 1 2
direct
0.500 0.500 0.500 Ru
0.000 0.500 0.000 Ga
0.000 0.000 0.000 Pt
0.500 0.000 0.000 P
0.000 0.000 0.500 P
```

- energy of formation (eV/atom) = 1.032
- SG = P4/mmm, No. 123

11.
The following is a PBE calculation of GaPPtS2 after structural relaxation, from Alexandria.

```
GaPPtS2
1.0
5.065 0.000 0.000
0.000 5.065 0.000
0.000 0.000 4.380
Ga S Pt P
1 2 1 1
direct
0.500 0.500 0.500 Ga
0.500 0.000 0.000 S
0.000 0.500 0.000 S
0.000 0.000 0.000 Pt
0.000 0.000 0.500 P
```

- raw formation energy (meV/atom) = 480.6
- SG = P4/mmm, No. 123
- energy above the lowest structure with this stoichiometry (meV/atom) = 0

12.
The following is a PBE calculation of GaPPtS2 after structural relaxation, from Alexandria.

```
GaPPtS2
1.0
-3.329 -2.720 -1.557
2.890 -1.787 -3.059
1.237 -3.280 3.085
S Pt Ga P
2 1 1 1
direct
0.500 0.000 0.000 S
0.000 0.500 0.000 S
0.500 0.500 0.500 Pt
0.000 0.000 0.000 Ga
0.000 0.000 0.500 P
```

- raw formation energy (meV/atom) = 981.4
- SG = P4/mmm, No. 123
- energy above the lowest structure with this stoichiometry (meV/atom) = 501

Size of the total moment for the records above, in order: 0.0; 0.0; 0.0; 0.0; 0.0; 0.0; 0.0; 0.0; 0.0; 1.1; 0.1; 0.0 μB/f.u.